## Y4ErAu5 (PBE)

Data for a relaxed Y4ErAu5 crystal.

```
data_Y4ErAu5
_symmetry_space_group_name_H-M 'P 1'
_symmetry_Int_Tables_number 1
_symmetry_space_group_name_Hall 'P 1'
_cell_length_a 3.572
_cell_length_b 3.572
_cell_length_c 18.274
_cell_angle_alpha 90.00
_cell_angle_beta 90.00
_cell_angle_gamma 90.00
loop_
_atom_site_label
_atom_site_type_symbol
_atom_site_fract_x
_atom_site_fract_y
_atom_site_fract_z
Y1 Y 0.000 0.000 0.199
Y2 Y 0.000 0.000 0.400
Y3 Y 0.000 0.000 0.600
Y4 Y 0.000 0.000 0.801
Er1 Er 0.000 0.000 0.000
Au1 Au 0.500 0.500 0.097
Au2 Au 0.500 0.500 0.299
Au3 Au 0.500 0.500 0.500
Au4 Au 0.500 0.500 0.701
Au5 Au 0.500 0.500 0.903
```

## Properties
magnetic moment	0.00	Bohr magnetons per cell
formation enthalpy at 0 K	-0.867	eV/atom
space group	No. 123
final energy	-5.55	eV/atom